Entry 1:
The following is a DFT calculation (GGA-PBE) of a relaxed structure of PaFe22B6.

Cell lengths 7.5765, 7.5765, 7.5765 Å; angles 60.00, 60.00, 60.00 degrees
Last column: nearest neighbours and their distance in Å.
Element x y z (fractional)
Pa (0.0000, 0.0000, 0.0000)  12 Fe 2.64, 6 B 2.94
Fe (0.0000, 0.0000, 0.3490)  2 B 2.15, 1 Fe 2.29
Fe (0.0000, 0.0000, 0.6510)  2 B 2.15, 1 Fe 2.29
Fe (0.0000, 0.3490, 0.0000)  2 B 2.15, 1 Fe 2.29
Fe (0.0000, 0.3490, 0.6510)  2 B 2.15, 1 Fe 2.29
Fe (0.0000, 0.6510, 0.0000)  2 B 2.15, 1 Fe 2.29
Fe (0.0000, 0.6510, 0.3490)  2 B 2.15, 1 Fe 2.29
Fe (0.1482, 0.6173, 0.6173)  3 B 2.12
Fe (0.2500, 0.2500, 0.2500)  4 Fe 2.46
Fe (0.3490, 0.0000, 0.0000)  2 B 2.15, 1 Fe 2.29
Fe (0.3490, 0.0000, 0.6510)  2 B 2.15, 1 Fe 2.29
Fe (0.3490, 0.6510, 0.0000)  2 B 2.15, 1 Fe 2.29
Fe (0.3827, 0.3827, 0.3827)  3 B 2.12
Fe (0.3827, 0.3827, 0.8518)  3 B 2.12
Fe (0.3827, 0.8518, 0.3827)  3 B 2.12
Fe (0.6173, 0.1482, 0.6173)  3 B 2.12
Fe (0.6173, 0.6173, 0.1482)  3 B 2.12
Fe (0.6173, 0.6173, 0.6173)  3 B 2.12
Fe (0.6510, 0.0000, 0.0000)  2 B 2.15, 1 Fe 2.29
Fe (0.6510, 0.0000, 0.3490)  2 B 2.15, 1 Fe 2.29
Fe (0.6510, 0.3490, 0.0000)  2 B 2.15, 1 Fe 2.29
Fe (0.7500, 0.7500, 0.7500)  4 Fe 2.46
Fe (0.8518, 0.3827, 0.3827)  3 B 2.12
B (0.2741, 0.2741, 0.7259)  8 Fe 2.12-2.15
B (0.2741, 0.7259, 0.2741)  8 Fe 2.12-2.15
B (0.2741, 0.7259, 0.7259)  8 Fe 2.12-2.15
B (0.7259, 0.2741, 0.2741)  8 Fe 2.12-2.15
B (0.7259, 0.2741, 0.7259)  8 Fe 2.12-2.15
B (0.7259, 0.7259, 0.2741)  8 Fe 2.12-2.15

Summary:
Spin magnetization = 1.54 μB/atom
Calculated density = 8.23 g cm⁻³
Final energy = -8.2910 eV per atom

---

Entry 2:
The following is a DFT calculation (GGA-PBE) of a relaxed structure of ZrCuW2.

Cell lengths 5.1190, 5.1190, 4.7298 Å; angles 102.50, 102.50, 33.67 degrees
Last column: nearest neighbours and their distance in Å.
Element x y z (fractional)
Zr (0.0000, 0.0000, 0.0000)  4 Cu 2.79, 6 W 2.85-3.04, 2 Zr 2.97
Cu (0.5000, 0.5000, 0.5000)  4 W 2.72, 4 Zr 2.79, 2 Cu 2.97
W (0.2317, 0.2317, 0.7286)  6 W 2.71-2.97, 2 Cu 2.72, 1 Zr 2.85
W (0.7683, 0.7683, 0.2714)  6 W 2.71-2.97, 2 Cu 2.72, 1 Zr 2.85

Summary:
Spin magnetization = 0.00 μB/atom
Calculated density = 12.96 g cm⁻³
Final energy = -9.3516 eV per atom